Entry 1:
Compound: SiTeAu2
Source: the Alexandria database
Functional: PBE
Structure: relaxed

a = 4.661 Å, b = 4.661 Å, c = 4.037 Å
α = 90.00°, β = 90.00°, γ = 101.85°
Fractional positions:
Si1 0.000 0.000 0.000
Te1 0.500 0.500 0.000
Au1 0.213 0.787 0.500
Au2 0.787 0.213 0.500

Summary:
density of states at the Fermi level: 1.6 states/eV/f.u.
ΔE_f (raw): 0.057 eV per atom
polymorph energy (0 for the lowest one): 0.08 kJ/mol of atoms
space group: Cmmm, No. 65
uncorrected energy: -3.723 eV/atom

=====

Entry 2:
Compound: HfCo3Sb
Source: the Alexandria database
Functional: PBE
Structure: relaxed

a = 4.524 Å, b = 4.524 Å, c = 4.524 Å
α = 90.00°, β = 90.00°, γ = 90.00°
Fractional positions:
Hf1 0.000 0.000 0.000
Co1 0.000 0.500 0.500
Co2 0.500 0.000 0.500
Co3 0.500 0.500 0.000
Sb1 0.500 0.500 0.500

Summary:
density of states at the Fermi level: 5.5 states/eV/f.u.
ΔE_f (raw): 0.899 eV per atom
polymorph energy (0 for the lowest one): 0.00 kJ/mol of atoms
space group: Pm-3m, No. 221
uncorrected energy: -6.179 eV/atom

=====

Entry 3:
Compound: Pr2Sm3Er5
Source: the Alexandria database
Functional: PBE
Structure: relaxed

a = 12.372 Å, b = 12.372 Å, c = 12.372 Å
α = 135.05°, β = 56.23°, γ = 148.01°
Fractional positions:
Pr1 0.126 0.105 0.231
Pr2 0.374 0.605 0.979
Pr3 0.626 0.395 0.021
Pr4 0.874 0.895 0.769
Sm1 0.131 0.748 0.878
Sm2 0.250 0.250 0.000
Sm3 0.369 0.248 0.617
Sm4 0.631 0.752 0.383
Sm5 0.750 0.750 0.000
Sm6 0.869 0.252 0.122
Er1 0.002 0.750 0.252
Er2 0.125 0.416 0.540
Er3 0.250 0.750 0.500
Er4 0.375 0.916 0.291
Er5 0.498 0.750 0.748
Er6 0.502 0.250 0.252
Er7 0.625 0.084 0.709
Er8 0.750 0.250 0.500
Er9 0.875 0.584 0.460
Er10 0.998 0.250 0.748

Summary:
density of states at the Fermi level: 15.8 states/eV/f.u.
DFT formation energy: 397.8 meV/atom
polymorph energy (0 for the lowest one): 20.69 kJ/mol of atoms
space group: Ibam, No. 72
uncorrected energy: -4.255 eV/atom

=====

Entry 4:
Compound: ThMnSi
Source: the Alexandria database
Functional: PBE
Structure: relaxed

a = 4.200 Å, b = 5.165 Å, c = 5.807 Å
α = 93.96°, β = 110.71°, γ = 104.86°
Fractional positions:
Th1 0.213 0.188 0.313
Th2 0.787 0.812 0.687
Mn1 0.018 0.614 0.254
Mn2 0.982 0.386 0.746
Si1 0.463 0.716 0.093
Si2 0.537 0.284 0.907

Summary:
density of states at the Fermi level: 1.9 states/eV/f.u.
ΔE_f (raw): -0.344 eV per atom
space group: P-1, No. 2
uncorrected energy: -7.682 eV/atom

=====

Entry 5:
Compound: Pu2Ga6Cu3
Source: the Alexandria database
Functional: PBE
Structure: relaxed

a = 7.570 Å, b = 7.570 Å, c = 4.087 Å
α = 90.00°, β = 90.00°, γ = 120.00°
Fractional positions:
Pu1 0.333 0.667 0.000
Pu2 0.667 0.333 0.000
Ga1 0.000 0.315 0.500
Ga2 0.000 0.803 0.000
Ga3 0.197 0.197 0.000
Ga4 0.315 0.000 0.500
Ga5 0.685 0.685 0.500
Ga6 0.803 0.000 0.000
Cu1 0.000 0.636 0.500
Cu2 0.364 0.364 0.500
Cu3 0.636 0.000 0.500

Summary:
density of states at the Fermi level: 29.5 states/eV/f.u.
DFT formation energy: -220.0 meV/atom
space group: P-62m, No. 189
uncorrected energy: -5.594 eV/atom

=====

Entry 6:
Compound: SrHfCu2C
Source: the Alexandria database
Functional: PBE
Structure: relaxed

a = 4.751 Å, b = 4.751 Å, c = 5.929 Å
α = 90.00°, β = 90.00°, γ = 90.00°
Fractional positions:
Sr1 0.000 0.000 0.000
Hf1 0.000 0.000 0.500
Cu1 0.000 0.500 0.000
Cu2 0.500 0.000 0.000
C1 0.500 0.500 0.500

Summary:
density of states at the Fermi level: 5.5 states/eV/f.u.
DFT formation energy: 2995.7 meV/atom
polymorph energy (0 for the lowest one): 99.60 kJ/mol of atoms
space group: P4/mmm, No. 123
uncorrected energy: -2.815 eV/atom

=====

Entry 7:
Compound: BaCaICl2
Source: the Alexandria database
Functional: PBE
Structure: relaxed

a = 7.134 Å, b = 7.134 Å, c = 6.058 Å
α = 90.00°, β = 90.00°, γ = 90.00°
Fractional positions:
Ba1 0.000 0.000 0.000
Ca1 0.500 0.500 0.000
I1 0.000 0.000 0.500
Cl1 0.000 0.500 0.500
Cl2 0.500 0.000 0.500

Summary:
density of states at the Fermi level: 0.6 states/eV/f.u.
ΔE_f (raw): -0.520 eV per atom
space group: P4/mmm, No. 123
uncorrected energy: -2.354 eV/atom

=====

Entry 8:
Compound: FeAs2Ir
Source: the Alexandria database
Functional: PBE
Structure: relaxed

a = 4.170 Å, b = 4.170 Å, c = 5.185 Å
α = 101.98°, β = 101.98°, γ = 41.75°
Fractional positions:
Fe1 0.000 0.000 0.000
As1 0.253 0.253 0.766
As2 0.747 0.747 0.234
Ir1 0.500 0.500 0.500

Summary:
density of states at the Fermi level: 3.4 states/eV/f.u.
DFT formation energy: 109.9 meV/atom
polymorph energy (0 for the lowest one): 10.21 kJ/mol of atoms
space group: C2/m, No. 12
uncorrected energy: -6.546 eV/atom

=====

no.,spin magnetization (Bohr magnetons per cell)
1,0.000
2,2.663
3,0.000
4,0.001
5,11.105
6,0.000
7,1.000
8,1.666